No. 1
Compound: Sr2BeReC
Source: the Alexandria database
Functional: PBE
Structure: relaxed

Output
- Density of states at the Fermi level: 3.1 states/eV/f.u.
- Formation energy: 871 kJ/mol of formula units
- Calculated volume: 27.68 Å³ per atom
- Theoretical density: 4.59 Mg/m³

Cell: 5.6716 4.3027 5.6716 Å, 90.00 90.00 90.00°
Each line ends with the local moment (μB).
Fractional positions:
Re (0.0000, 0.0000, 0.0000)  0.71
C (0.5000, 0.5000, 0.5000)  1.00
Be (0.0000, 0.5000, 0.0000)  -0.03
Sr (0.0000, 0.0000, 0.5000)  0.03
Sr (0.5000, 0.0000, 0.0000)  0.04

No. 2
Compound: ZrZn2PtBr
Source: the Alexandria database
Functional: PBE
Structure: relaxed

Output
- Density of states at the Fermi level: 2.6 states/eV/f.u.
- Calculated volume: 24.11 Å³ per atom
- Theoretical density: 6.85 Mg/m³
- Uncorrected formation energy: -0.89 eV/f.u.

Cell: 4.8360 5.1542 4.8360 Å, 90.00 90.00 90.00°
Fractional positions:
Zn (0.0000, 0.0000, 0.5000)
Zn (0.5000, 0.0000, 0.0000)
Br (0.5000, 0.5000, 0.5000)
Zr (0.0000, 0.5000, 0.0000)
Pt (0.0000, 0.0000, 0.0000)

No. 3
Compound: Ga2SbPbSe6
Source: the Alexandria database
Functional: PBE
Structure: relaxed

Output
- Density of states at the Fermi level: 1.7 states/eV/f.u.
- Calculated volume: 27.16 Å³ per atom
- Theoretical density: 5.76 Mg/m³
- Uncorrected formation energy: -3.77 eV/f.u.

Cell: 7.5448 8.7204 8.7204 Å, 80.80 77.57 77.57°
Fractional positions:
Ga (0.2797, 0.7766, 0.6233)
Ga (0.2203, 0.3767, 0.2234)
Ga (0.7203, 0.2234, 0.3767)
Ga (0.7797, 0.6233, 0.7766)
Sb (0.2500, 0.2590, 0.7410)
Sb (0.7500, 0.7410, 0.2590)
Pb (0.2500, 0.8544, 0.1456)
Pb (0.7500, 0.1456, 0.8544)
Se (0.1465, 0.9734, 0.8164)
Se (0.3535, 0.1836, 0.0266)
Se (0.8535, 0.0266, 0.1836)
Se (0.6465, 0.8164, 0.9734)
Se (0.4097, 0.9446, 0.3908)
Se (0.0903, 0.6092, 0.0554)
Se (0.5903, 0.0554, 0.6092)
Se (0.9097, 0.3908, 0.9446)
Se (0.0259, 0.6854, 0.5564)
Se (0.4741, 0.4436, 0.3146)
Se (0.9741, 0.3146, 0.4436)
Se (0.5259, 0.5564, 0.6854)

No. 4
Compound: Cr2IrSe
Source: the Alexandria database
Functional: PBE
Structure: relaxed

Output
- Density of states at the Fermi level: 4.9 states/eV/f.u.
- Calculated volume: 14.94 Å³ per atom
- Theoretical density: 10.42 Mg/m³
- Uncorrected formation energy: 1.68 eV/f.u.

Cell: 2.6980 2.6980 8.9870 Å, 90.00 90.00 114.00°
Each line ends with the local moment (μB).
Fractional positions:
Cr (0.0000, 0.0000, 0.0270)  0.08
Cr (0.5000, 0.5000, 0.2241)  -0.06
Ir (0.0000, 0.0000, 0.4522)  0.00
Se (0.5000, 0.5000, 0.7967)  0.00

No. 5
Compound: Sc8CS3O3
Source: the Alexandria database
Functional: PBE
Structure: relaxed

Output
- Density of states at the Fermi level: 6.6 states/eV/f.u.
- Calculated volume: 15.09 Å³ per atom
- Theoretical density: 3.78 Mg/m³
- Uncorrected formation energy: -30.15 eV/f.u.

Cell: 6.7326 6.7328 6.9547 Å, 118.95 90.00 120.00°
Fractional positions:
Sc (0.2664, 0.5328, 0.2993)
Sc (0.7336, 0.4672, 0.7007)
Sc (0.7650, 0.5300, 0.2896)
Sc (0.2350, 0.4700, 0.7104)
Sc (0.7650, 0.0246, 0.2896)
Sc (0.2350, 0.9754, 0.7104)
Sc (0.2596, 0.0246, 0.2896)
Sc (0.7404, 0.9754, 0.7104)
C (0.0000, 0.0000, 0.5000)
S (0.0000, 0.0000, 0.0000)
S (0.0000, 0.5000, 0.0000)
S (0.5000, 0.5000, 0.0000)
O (0.5000, 0.0000, 0.5000)
O (0.5000, 0.5000, 0.5000)
O (0.0000, 0.5000, 0.5000)

No. 6
Compound: DyHo6Zr
Source: the Alexandria database
Functional: PBE
Structure: relaxed

Output
- Density of states at the Fermi level: 10.8 states/eV/f.u.
- Formation energy: 520 kJ/mol of formula units
- Calculated volume: 36.91 Å³ per atom
- Theoretical density: 6.99 Mg/m³
- Energy above the most stable polymorph in this dataset: 0.431 eV per atom

Cell: 6.2665 6.2637 9.4020 Å, 70.46 70.75 60.04°
Each line ends with the local moment (μB).
Fractional positions:
Dy (0.5000, 0.5000, 0.5000)  -0.07
Ho (0.0592, 0.4369, 0.8116)  0.07
Ho (0.6897, 0.0616, 0.8127)  0.07
Ho (0.5660, 0.3071, 0.1881)  0.07
Ho (0.3103, 0.9384, 0.1873)  0.07
Ho (0.9408, 0.5631, 0.1884)  0.07
Ho (0.4340, 0.6929, 0.8119)  0.07
Zr (0.0000, 0.0000, 0.0000)  0.46

No. 7
Compound: Sc4TcRu
Source: the Alexandria database
Functional: PBE
Structure: relaxed

Output
- Density of states at the Fermi level: 4.5 states/eV/f.u.
- Formation energy: -202 kJ/mol of formula units
- Calculated volume: 19.98 Å³ per atom
- Theoretical density: 5.25 Mg/m³
- Energy above the most stable polymorph in this dataset: 0.000 eV per atom

Cell: 3.2704 3.2704 11.2100 Å, 90.00 90.00 90.00°
Fractional positions:
Sc (0.5000, 0.5000, 0.8645)
Sc (0.5000, 0.5000, 0.1355)
Sc (0.9999, 0.9999, 0.6347)
Sc (0.0001, 0.0001, 0.3653)
Tc (0.5000, 0.5000, 0.5000)
Ru (0.0000, 0.0000, 0.0000)

No. 8
Compound: LaPr8Sc2
Source: the Alexandria database
Functional: PBE
Structure: relaxed

Output
- Density of states at the Fermi level: 16.6 states/eV/f.u.
- Formation energy: 160 kJ/mol of formula units
- Calculated volume: 34.46 Å³ per atom
- Theoretical density: 5.94 Mg/m³
- Energy above the most stable polymorph in this dataset: 0.033 eV per atom

Cell: 6.0000 9.1163 9.4081 Å, 61.02 74.85 57.36°
Fractional positions:
La (0.5000, 0.0000, 0.0000)
Pr (0.8241, 0.0971, 0.2437)
Pr (0.8241, 0.3408, 0.7563)
Pr (0.2949, 0.4198, 0.0000)
Pr (0.5000, 0.7917, 0.4166)
Pr (0.5000, 0.2083, 0.5834)
Pr (0.7051, 0.5802, 0.0000)
Pr (0.1759, 0.6592, 0.2437)
Pr (0.1759, 0.9029, 0.7563)
Sc (0.0000, 0.3105, 0.3789)
Sc (0.0000, 0.6895, 0.6211)

No. 9
Compound: NaCeH2S2O9
Source: the Alexandria database
Functional: PBE
Structure: relaxed

Output
- Final energy: -282.995 eV/cell
- Density of states at the Fermi level: 8.6 states/eV/f.u.
- Calculated volume: 12.51 Å³ per atom
- Theoretical density: 3.30 Mg/m³

Cell: 7.0610 7.0610 13.0412 Å, 90.00 90.00 120.00°
Each line ends with the local moment (μB).
Fractional positions:
Na (0.9937, 0.4657, 0.8432)  0.00
Na (0.5343, 0.5280, 0.5098)  0.00
Na (0.4720, 0.0063, 0.1765)  0.00
Ce (0.0128, 0.4335, 0.3415)  0.97
Ce (0.5665, 0.5794, 0.0082)  0.97
Ce (0.4206, 0.9872, 0.6749)  0.97
H (0.0228, 0.9224, 0.9330)  0.00
H (0.0776, 0.1003, 0.5996)  0.00
H (0.0925, 0.0104, 0.3391)  0.00
H (0.8997, 0.9772, 0.2663)  0.00
H (0.9179, 0.9075, 0.6724)  0.00
H (0.9896, 0.0821, 0.0058)  0.00
S (0.0103, 0.4550, 0.0975)  0.00
S (0.4447, 0.9897, 0.4309)  0.00
S (0.5450, 0.5553, 0.7642)  0.00
S (0.5720, 0.5541, 0.2535)  0.00
S (0.4459, 0.0179, 0.9201)  0.00
S (0.9821, 0.4280, 0.5868)  0.00
O (0.1230, 0.5972, 0.6627)  0.00
O (0.1518, 0.6355, 0.1697)  0.00
O (0.2428, 0.8861, 0.8567)  0.00
O (0.2464, 0.8547, 0.3666)  0.00
O (0.1139, 0.3567, 0.5233)  0.00
O (0.1453, 0.3917, 0.0333)  0.00
O (0.4743, 0.8770, 0.9960)  0.00
O (0.4837, 0.8482, 0.5030)  0.00
O (0.0668, 0.9825, 0.6439)  0.00
O (0.3645, 0.5163, 0.8364)  0.00
O (0.4028, 0.5257, 0.3293)  0.00
O (0.6083, 0.7536, 0.7000)  0.00
O (0.6433, 0.7572, 0.1900)  0.00
O (0.4794, 0.3678, 0.6938)  0.00
O (0.4854, 0.3693, 0.1789)  0.00
O (0.4094, 0.1418, 0.4971)  0.00
O (0.4247, 0.1868, 0.9779)  0.00
O (0.7324, 0.5906, 0.8304)  0.00
O (0.7622, 0.5753, 0.3113)  0.00
O (0.9158, 0.9332, 0.9772)  0.00
O (0.6322, 0.1116, 0.3604)  0.00
O (0.6307, 0.1161, 0.8456)  0.00
O (0.8839, 0.5146, 0.5122)  0.00
O (0.8884, 0.5206, 0.0271)  0.00
O (0.8132, 0.2378, 0.6446)  0.00
O (0.8582, 0.2676, 0.1638)  0.00
O (0.0175, 0.0842, 0.3105)  0.00

No. 10
Compound: CaFe2Ag
Source: the Alexandria database
Functional: PBE
Structure: relaxed

Output
- Density of states at the Fermi level: 4.6 states/eV/f.u.
- Formation energy: 221 kJ/mol of formula units
- Calculated volume: 17.13 Å³ per atom
- Theoretical density: 6.29 Mg/m³

Cell: 5.4991 5.4991 2.8224 Å, 79.34 79.34 120.16°
Each line ends with the local moment (μB).
Fractional positions:
Ca (0.0000, 0.5000, 0.5000)  -0.14
Fe (0.0000, 0.0000, 0.0000)  2.64
Fe (0.5000, 0.5000, 0.0000)  2.64
Ag (0.5000, 0.0000, 0.5000)  -0.03

No. 11
Compound: Ac6BiO12
Source: the Alexandria database
Functional: PBE
Structure: relaxed

Output
- Density of states at the Fermi level: 16.2 states/eV/f.u.
- Calculated volume: 18.47 Å³ per atom
- Theoretical density: 8.34 Mg/m³
- Uncorrected formation energy: -54.13 eV/f.u.

Cell: 7.1445 7.1445 7.1445 Å, 98.64 98.64 98.64°
Each line ends with the local moment (μB).
Fractional positions:
Ac (0.7031, 0.8602, 0.3960)  -0.01
Ac (0.6040, 0.2969, 0.1398)  -0.01
Ac (0.1398, 0.6040, 0.2969)  -0.01
Ac (0.2969, 0.1398, 0.6040)  -0.01
Ac (0.3960, 0.7031, 0.8602)  -0.01
Ac (0.8602, 0.3960, 0.7031)  -0.01
Bi (0.0000, 0.0000, 0.0000)  0.00
O (0.8230, 0.5574, 0.4064)  -0.14
O (0.4064, 0.8230, 0.5574)  -0.14
O (0.5574, 0.4064, 0.8230)  -0.14
O (0.1770, 0.4426, 0.5936)  -0.14
O (0.5936, 0.1770, 0.4426)  -0.14
O (0.4426, 0.5936, 0.1770)  -0.14
O (0.0651, 0.9586, 0.2988)  -0.02
O (0.0414, 0.7012, 0.9349)  -0.02
O (0.7012, 0.9349, 0.0414)  -0.02
O (0.9349, 0.0414, 0.7012)  -0.02
O (0.9586, 0.2988, 0.0651)  -0.02
O (0.2988, 0.0651, 0.9586)  -0.02

No. 12
Compound: IrPt6Rh5
Source: the Alexandria database
Functional: PBE
Structure: relaxed

Output
- Density of states at the Fermi level: 19.3 states/eV/f.u.
- Formation energy: 745 kJ/mol of formula units
- Calculated volume: 17.39 Å³ per atom
- Theoretical density: 14.94 Mg/m³
- Energy above the most stable polymorph in this dataset: 0.647 eV per atom

Cell: 6.3360 6.3651 6.3381 Å, 59.86 80.47 70.75°
Fractional positions:
Ir (0.0000, 0.0000, 0.0000)
Pt (0.7537, 0.0817, 0.3287)
Pt (0.2463, 0.5897, 0.3287)
Pt (0.2509, 0.2443, 0.0000)
Pt (0.7491, 0.7557, 0.0000)
Pt (0.7537, 0.4103, 0.6713)
Pt (0.2463, 0.9183, 0.6713)
Rh (0.5000, 0.1704, 0.6591)
Rh (0.0000, 0.3350, 0.3300)
Rh (0.5000, 0.5000, 0.0000)
Rh (0.0000, 0.6650, 0.6700)
Rh (0.5000, 0.8296, 0.3409)